{"formula": "GdHo2Sc3Te2Os", "functional": "PBE-GGA", "state": "optimized geometry", "lattice": [[-1.8477, 2.6705, -2.3621], [-5.6602, -5.3153, -1.5818], [-0.8541, 4.8796, 6.1849]], "species": ["Sc", "Sc", "Sc", "Ho", "Ho", "Te", "Te", "Os", "Gd"], "frac_coords": [[0.5000, 0.0029, 0.2312], [0.5000, 0.2312, 0.0029], [0.5000, 0.7660, 0.7660], [0.0000, 0.6142, 0.0006], [0.0000, 0.0006, 0.6142], [0.5000, 0.6697, 0.3336], [0.5000, 0.3336, 0.6697], [0.0000, 0.9880, 0.9880], [0.0000, 0.3937, 0.3937]], "energy_ev_per_atom": -6.362, "density_g_cm3": 8.07, "space_group": "Amm2 (38)"}